A:
Entry from Alexandria via LeMat-Bulk: an optimized crystal structure of Ni2AgHg2 (GGA-PBE).

Cell lengths 4.155, 4.155, 10.898 Å; angles 90.00, 90.00, 90.00 degrees
Space group I4/mmm (No. 139)
Symmetry-distinct sites (fractional):
Ni 0.000 0.000 0.103 [4 per cell]
Ag 0.000 0.000 0.500 [2 per cell]
Hg 0.000 0.500 0.250 [4 per cell]

## Properties
Fermi-level density of states = 0.6774 states/eV per atom

=====

B:
Entry from Alexandria via LeMat-Bulk: an optimized crystal structure of Ni2AgHg2 (GGA-PBE).

Cell lengths 3.385, 3.385, 15.650 Å; angles 90.00, 90.00, 90.00 degrees
Space group I4/mmm (No. 139)
Symmetry-distinct sites (fractional):
Ni 0.000 0.500 0.250 [4 per cell]
Ag 0.000 0.000 0.000 [2 per cell]
Hg 0.000 0.000 0.385 [4 per cell]

## Properties
Fermi-level density of states = 0.8366 states/eV per atom

=====

Most stable: B (next structure +0.208 eV/atom)

=====

A:
Entry from Alexandria via LeMat-Bulk: an optimized crystal structure of NiAgHg3 (GGA-PBE).

Cell lengths 5.379, 5.379, 5.379 Å; angles 90.00, 90.00, 90.00 degrees
Space group Pm-3m (No. 221)
Symmetry-distinct sites (fractional):
Ni 0.000 0.000 0.000 [1 per cell]
Ag 0.500 0.500 0.500 [1 per cell]
Hg 0.000 0.500 0.500 [3 per cell]

## Properties
Fermi-level density of states = 2.8009 states/eV per atom

=====

B:
Entry from Alexandria via LeMat-Bulk: an optimized crystal structure of NiAgHg3 (GGA-PBE).

Cell lengths 5.006, 5.006, 5.006 Å; angles 90.00, 90.00, 90.00 degrees
Space group Pm-3m (No. 221)
Symmetry-distinct sites (fractional):
Ni 0.000 0.000 0.000 [1 per cell]
Ag 0.500 0.500 0.500 [1 per cell]
Hg 0.000 0.000 0.500 [3 per cell]

## Properties
Fermi-level density of states = 0.4356 states/eV per atom

=====

Most stable: B (next structure +0.524 eV/atom)

=====

A:
Entry from Alexandria via LeMat-Bulk: an optimized crystal structure of NiAg2Hg2 (GGA-PBE).

Cell lengths 6.821, 6.821, 4.245 Å; angles 90.00, 90.00, 90.00 degrees
Space group P4/mbm (No. 127)
Symmetry-distinct sites (fractional):
Ni 0.000 0.000 0.000 [2 per cell]
Ag 0.144 0.356 0.000 [4 per cell]
Hg 0.167 0.667 0.500 [4 per cell]

## Properties
Fermi-level density of states = 0.5420 states/eV per atom

=====

B:
Entry from Alexandria via LeMat-Bulk: an optimized crystal structure of NiAg2Hg2 (GGA-PBE).

Cell lengths 6.854, 6.854, 4.256 Å; angles 90.00, 90.00, 90.00 degrees
Space group P4/mbm (No. 127)
Symmetry-distinct sites (fractional):
Ni 0.000 0.000 0.000 [2 per cell]
Ag 0.156 0.344 0.500 [4 per cell]
Hg 0.152 0.652 0.000 [4 per cell]

## Properties
Fermi-level density of states = 0.6054 states/eV per atom

=====

Most stable: B (next structure +0.024 eV/atom)